(1)
The following is a PBE calculation of a relaxed structure of KBaF, from Alexandria via LeMat-Bulk.

The structure in POSCAR format:
```
KBaF
1.0
4.542 0.000 0.000
0.000 4.542 0.000
0.000 0.000 13.595
F K Ba
2 2 2
direct
0.000 0.000 0.000 F
0.500 0.500 0.000 F
0.500 0.000 0.629 K
0.000 0.500 0.371 K
0.000 0.500 0.893 Ba
0.500 0.000 0.107 Ba
```

Results
Uncorrected formation energy: -1.860 eV per atom
Final energy: -3.49 eV/atom
Relative energy among the computed polymorphs: 0.0 meV/atom
Magnetization: 0.098 μB/atom

(2)
The following is a PBE calculation of a relaxed structure of TmCdAgPt, from Alexandria via LeMat-Bulk.

The structure in POSCAR format:
```
TmCdAgPt
1.0
4.826 0.000 0.000
2.413 4.179 0.000
2.413 1.393 3.940
Pt Cd Ag Tm
1 1 1 1
direct
0.750 0.750 0.750 Pt
0.500 0.500 0.500 Cd
0.250 0.250 0.250 Ag
0.000 0.000 0.000 Tm
```

Results
E_form: -0.601 eV per atom
Final energy: -4.17 eV/atom
Magnetization: 0.000 μB/atom

(3)
The following is a PBE calculation of a relaxed structure of K3Ho2PaSe6, from Alexandria via LeMat-Bulk.

The structure in POSCAR format:
```
K3Ho2PaSe6
1.0
-6.363 0.898 -3.392
0.473 -4.467 5.711
0.270 7.051 3.952
Pa K Se Ho
1 3 6 2
direct
0.000 0.000 0.000 Pa
0.833 0.167 0.500 K
0.167 0.833 0.500 K
0.500 0.500 0.500 K
0.069 0.403 0.207 Se
0.931 0.597 0.793 Se
0.265 0.265 0.793 Se
0.735 0.735 0.207 Se
0.597 0.931 0.793 Se
0.403 0.069 0.207 Se
0.667 0.333 0.000 Ho
0.333 0.667 0.000 Ho
```

Results
Uncorrected formation energy: -1.588 eV per atom
Final energy: -5.16 eV/atom
Magnetization: 0.151 μB/atom

(4)
The following is a PBE calculation of a relaxed structure of Tb6Dy2Th, from Alexandria via LeMat-Bulk.

The structure in POSCAR format:
```
Tb6Dy2Th
1.0
7.392 0.000 0.000
3.696 6.402 0.000
3.696 2.134 6.453
Dy Tb Th
2 6 1
direct
0.754 0.754 0.739 Dy
0.580 0.580 0.261 Dy
0.617 0.045 0.293 Tb
0.045 0.045 0.293 Tb
0.263 0.782 0.692 Tb
0.782 0.263 0.692 Tb
0.263 0.263 0.692 Tb
0.045 0.617 0.293 Tb
0.318 0.318 0.046 Th
```

Results
E_form: 0.395 eV per atom
Final energy: -4.54 eV/atom
Relative energy among the computed polymorphs: 335.8 meV/atom
Magnetization: 0.000 μB/atom

(5)
The following is a PBE calculation of a relaxed structure of Tl2Pb2Au, from Alexandria via LeMat-Bulk.

The structure in POSCAR format:
```
Tl2Pb2Au
1.0
-4.755 2.465 -5.438
5.275 -1.521 -5.303
-1.923 -4.857 -0.520
Pb Au Tl
4 2 4
direct
0.151 0.349 0.000 Pb
0.849 0.651 0.000 Pb
0.349 0.849 0.000 Pb
0.651 0.151 0.000 Pb
0.500 0.500 0.000 Au
0.000 0.000 0.000 Au
0.340 0.160 0.500 Tl
0.660 0.840 0.500 Tl
0.160 0.660 0.500 Tl
0.840 0.340 0.500 Tl
```

Results
E_form: 0.036 eV per atom
Final energy: -3.05 eV/atom
Relative energy among the computed polymorphs: 19.3 meV/atom
Magnetization: 0.000 μB/atom

(6)
The following is a PBE calculation of a relaxed structure of Cs2YFeI, from Alexandria via LeMat-Bulk.

The structure in POSCAR format:
```
Cs2YFeI
1.0
-7.177 -1.476 -0.023
0.016 -0.166 5.886
-1.476 7.174 0.206
Cs I Y Fe
2 1 1 1
direct
0.000 0.000 0.500 Cs
0.500 0.000 0.000 Cs
0.000 0.000 0.000 I
0.000 0.500 0.000 Y
0.500 0.500 0.500 Fe
```

Results
Uncorrected formation energy: 0.700 eV per atom
Final energy: -2.94 eV/atom
Magnetization: 0.817 μB/atom